VASP calculation (GGA+U) on crystalline VReO2 at its relaxed geometry.

Cell: 2.8712 2.8712 19.2929 Å, 90.00 90.00 120.00°
With the nearest neighbours (Å) after each atom.
Space group R-3m (No. 166, hexagonal axes)
Unique sites:
1 V 0.0000 0.0000 0.0000 [3 per cell]  6 O 2.06
2 Re 0.0000 0.0000 0.5000 [3 per cell]  2 O 1.99
3 O 0.0000 0.0000 0.3968 [6 per cell]  1 Re 1.99, 3 V 2.06

Properties
The calculation puts the offset from the most stable computed form at 0.0 meV/atom. The total energy is -8.5544 eV per atom. The magnetic moment comes out at 0.507 μB/atom.